Entry from Alexandria via LeMat-Bulk: Pm2PrCu after structural relaxation (PBE-GGA).

a b c (Å): 6.6051 7.0271 10.1672
angles (deg): 90.00 90.00 90.00
Atoms (fractional coordinates):
Cu 0.4263 0.8971 0.2500
Cu 0.9263 0.6029 0.7500
Cu 0.0737 0.3971 0.2500
Cu 0.5737 0.1029 0.7500
Pm 0.3259 0.1895 0.4419
Pm 0.6741 0.8105 0.5581
Pm 0.1741 0.6895 0.0581
Pm 0.8259 0.3105 0.9419
Pm 0.1741 0.6895 0.4419
Pm 0.6741 0.8105 0.9419
Pm 0.8259 0.3105 0.5581
Pm 0.3259 0.1895 0.0581
Pr 0.8606 0.0192 0.2500
Pr 0.6394 0.5192 0.2500
Pr 0.3606 0.4808 0.7500
Pr 0.1394 0.9808 0.7500

Properties
The space-group type is Pnma, No. 62. As for the density of states at the Fermi level: 1.085 states/eV/atom. The calculation puts the formation energy at -0.2 eV/f.u. The distance to the lowest polymorph of the same formula is 4.0 meV per atom.